(1)
VASP calculation (PBE) on crystalline NaNd3Ag4 at its relaxed geometry. Values from VASP.

The value obtained for the theoretical density is 7.1 g/cm3. The formation energy comes out at -140 kJ/mol of formula units. As for the space-group type: No. 166.

```
&SYSTEM
  ibrav = 0, nat = 8, ntyp = 3
/
ATOMIC_SPECIES
Ag 107.87 Ag.upf
Nd 144.24 Nd.upf
Na 22.99 Na.upf
ATOMIC_POSITIONS crystal
Ag 0.378 0.378 0.867
Ag 0.622 0.622 0.133
Ag 0.129 0.129 0.612
Ag 0.871 0.871 0.388
Nd 0.746 0.746 0.762
Nd 0.500 0.500 0.500
Nd 0.254 0.254 0.238
Na 0.000 0.000 0.000
CELL_PARAMETERS angstrom
-2.526 4.573 -0.570
-4.712 0.694 2.222
1.391 4.746 7.684
```

(2)
VASP calculation (PBE) on crystalline Na2NdAgO4 at its relaxed geometry. Values from VASP.

The value obtained for the theoretical density is 5.2 g/cm3. Its formation energy from raw total energies is -1.57 eV/atom. As for the space-group type: No. 82.

```
&SYSTEM
  ibrav = 0, nat = 8, ntyp = 4
/
ATOMIC_SPECIES
O 16.00 O.upf
Nd 144.24 Nd.upf
Na 22.99 Na.upf
Ag 107.87 Ag.upf
ATOMIC_POSITIONS crystal
O 0.918 0.685 0.212
O 0.082 0.294 0.767
O 0.527 0.233 0.315
O 0.473 0.788 0.706
Nd 0.500 0.250 0.750
Na 0.000 0.000 0.000
Na 0.500 0.750 0.250
Ag 0.000 0.500 0.500
CELL_PARAMETERS angstrom
5.315 0.153 0.234
-2.126 4.873 -0.234
-2.126 -2.176 4.367
```

(3)
VASP calculation (PBE) on crystalline NaPmNdAg at its relaxed geometry. Values from VASP.

The value obtained for the theoretical density is 6.1 g/cm3. The formation energy comes out at 35 kJ/mol of formula units. As for the space-group type: No. 216.

```
&SYSTEM
  ibrav = 0, nat = 4, ntyp = 4
/
ATOMIC_SPECIES
Ag 107.87 Ag.upf
Na 22.99 Na.upf
Pm 145.00 Pm.upf
Nd 144.24 Nd.upf
ATOMIC_POSITIONS crystal
Ag 0.250 0.250 0.250
Na 0.750 0.750 0.750
Pm 0.000 0.000 0.000
Nd 0.500 0.500 0.500
CELL_PARAMETERS angstrom
5.451 0.000 0.000
2.725 4.720 0.000
2.725 1.573 4.450
```

(4)
VASP calculation (PBE) on crystalline NaNdAgPt at its relaxed geometry. Values from VASP.

The value obtained for the theoretical density is 8.6 g/cm3. The formation energy comes out at -156 kJ/mol of formula units. As for the space-group type: No. 216.

```
&SYSTEM
  ibrav = 0, nat = 4, ntyp = 4
/
ATOMIC_SPECIES
Nd 144.24 Nd.upf
Ag 107.87 Ag.upf
Na 22.99 Na.upf
Pt 195.08 Pt.upf
ATOMIC_POSITIONS crystal
Nd 0.000 0.000 0.000
Ag 0.250 0.250 0.250
Na 0.500 0.500 0.500
Pt 0.750 0.750 0.750
CELL_PARAMETERS angstrom
-3.094 2.525 3.077
-2.209 -2.377 3.858
1.421 1.011 4.730
```

(5)
VASP calculation (PBE) on crystalline NaNd2AgS4 at its relaxed geometry. Values from VASP.

The value obtained for the theoretical density is 4.8 g/cm3. Its formation energy from raw total energies is -1.51 eV/atom. As for the space-group type: No. 10.

```
&SYSTEM
  ibrav = 0, nat = 8, ntyp = 4
/
ATOMIC_SPECIES
S 32.06 S.upf
Nd 144.24 Nd.upf
Na 22.99 Na.upf
Ag 107.87 Ag.upf
ATOMIC_POSITIONS crystal
S 0.500 0.762 0.250
S 0.500 0.238 0.750
S 0.000 0.755 0.752
S 0.000 0.245 0.248
Nd 0.000 0.000 0.000
Nd 0.500 0.000 0.500
Na 0.000 0.500 0.500
Ag 0.500 0.500 0.000
CELL_PARAMETERS angstrom
-3.293 -1.731 1.808
4.124 -3.069 4.572
1.008 4.125 5.787
```

(6)
VASP calculation (PBE) on crystalline Na2NdAgSb2 at its relaxed geometry. Values from VASP.

The value obtained for the theoretical density is 5.5 g/cm3. Its formation energy from raw total energies is -0.61 eV/atom. As for the space-group type: No. 26.

```
&SYSTEM
  ibrav = 0, nat = 12, ntyp = 4
/
ATOMIC_SPECIES
Na 22.99 Na.upf
Ag 107.87 Ag.upf
Sb 121.76 Sb.upf
Nd 144.24 Nd.upf
ATOMIC_POSITIONS crystal
Na 0.500 0.540 0.928
Na 0.500 0.040 0.072
Na 0.000 0.363 0.164
Na 0.000 0.863 0.836
Ag 0.500 0.144 0.682
Ag 0.500 0.644 0.318
Sb 0.500 0.264 0.381
Sb 0.500 0.764 0.619
Sb 0.000 0.758 0.162
Sb 0.000 0.258 0.838
Nd 0.000 0.977 0.445
Nd 0.000 0.477 0.555
CELL_PARAMETERS angstrom
4.601 0.000 0.000
0.000 7.812 0.000
0.000 0.000 9.177
```

(7)
VASP calculation (PBE) on crystalline NaNd2AgSe4 at its relaxed geometry. Values from VASP.

The value obtained for the theoretical density is 5.7 g/cm3. Its formation energy from raw total energies is -1.41 eV/atom. As for the space-group type: No. 10.

```
&SYSTEM
  ibrav = 0, nat = 8, ntyp = 4
/
ATOMIC_SPECIES
Se 78.96 Se.upf
Nd 144.24 Nd.upf
Ag 107.87 Ag.upf
Na 22.99 Na.upf
ATOMIC_POSITIONS crystal
Se 0.000 0.250 0.742
Se 0.500 0.246 0.251
Se 0.500 0.754 0.749
Se 0.000 0.750 0.258
Nd 0.000 0.500 0.500
Nd 0.500 0.000 0.500
Ag 0.000 0.000 0.000
Na 0.500 0.500 0.000
CELL_PARAMETERS angstrom
4.286 0.000 0.000
0.000 7.428 0.102
0.000 -2.670 6.685
```

(8)
VASP calculation (PBE) on crystalline Na2Ni2Ag at its relaxed geometry. Values from VASP.

The value obtained for the theoretical density is 4.8 g/cm3. The formation energy comes out at 187 kJ/mol of formula units. As for the space-group type: No. 127.

```
&SYSTEM
  ibrav = 0, nat = 10, ntyp = 3
/
ATOMIC_SPECIES
Na 22.99 Na.upf
Ni 58.69 Ni.upf
Ag 107.87 Ag.upf
ATOMIC_POSITIONS crystal
Na 0.679 0.821 0.500
Na 0.321 0.179 0.500
Na 0.179 0.679 0.500
Na 0.821 0.321 0.500
Ni 0.377 0.877 0.000
Ni 0.877 0.623 0.000
Ni 0.623 0.123 0.000
Ni 0.123 0.377 0.000
Ag 0.000 0.000 0.000
Ag 0.500 0.500 0.000
CELL_PARAMETERS angstrom
6.409 0.000 0.000
0.000 6.409 0.000
0.000 0.000 4.607
```

(9)
VASP calculation (PBE) on crystalline Na3NiAg at its relaxed geometry. Values from VASP.

The value obtained for the theoretical density is 2.7 g/cm3. The value obtained for the polymorph energy (0 for the lowest one) is 0.0 meV/atom. The formation energy comes out at 265 kJ/mol of formula units. As for the space-group type: No. 221.

```
&SYSTEM
  ibrav = 0, nat = 5, ntyp = 3
/
ATOMIC_SPECIES
Na 22.99 Na.upf
Ni 58.69 Ni.upf
Ag 107.87 Ag.upf
ATOMIC_POSITIONS crystal
Na 0.500 0.000 0.000
Na 0.000 0.500 0.000
Na 0.000 0.000 0.500
Ni 0.000 0.000 0.000
Ag 0.500 0.500 0.500
CELL_PARAMETERS angstrom
-0.175 -0.447 5.260
3.295 -4.121 -0.241
4.124 3.273 0.415
```

(10)
VASP calculation (PBE) on crystalline Na2NiAg at its relaxed geometry. Values from VASP.

The value obtained for the theoretical density is 4.5 g/cm3. The value obtained for the polymorph energy (0 for the lowest one) is 0.0 meV/atom. The formation energy comes out at 165 kJ/mol of formula units. As for the space-group type: No. 225.

```
&SYSTEM
  ibrav = 0, nat = 4, ntyp = 3
/
ATOMIC_SPECIES
Ni 58.69 Ni.upf
Na 22.99 Na.upf
Ag 107.87 Ag.upf
ATOMIC_POSITIONS crystal
Ni 0.000 0.000 0.000
Na 0.750 0.750 0.750
Na 0.250 0.250 0.250
Ag 0.500 0.500 0.500
CELL_PARAMETERS angstrom
4.187 0.108 2.384
2.142 4.218 0.918
0.162 1.689 4.511
```

(11)
VASP calculation (PBE) on crystalline Na2NiAg at its relaxed geometry. Values from VASP.

The value obtained for the theoretical density is 4.2 g/cm3. The value obtained for the polymorph energy (0 for the lowest one) is 44.7 meV/atom. The formation energy comes out at 182 kJ/mol of formula units. As for the space-group type: No. 122.

```
&SYSTEM
  ibrav = 0, nat = 8, ntyp = 3
/
ATOMIC_SPECIES
Ag 107.87 Ag.upf
Ni 58.69 Ni.upf
Na 22.99 Na.upf
ATOMIC_POSITIONS crystal
Ag 0.750 0.250 0.500
Ag 0.000 0.000 0.000
Ni 0.500 0.500 0.000
Ni 0.250 0.750 0.500
Na 0.375 0.394 0.750
Na 0.144 0.625 0.250
Na 0.875 0.856 0.750
Na 0.606 0.125 0.250
CELL_PARAMETERS angstrom
-6.005 5.116 0.363
-4.700 -5.712 2.764
-4.655 0.342 4.074
```

(12)
VASP calculation (PBE) on crystalline Na3NiAg at its relaxed geometry. Values from VASP.

The value obtained for the theoretical density is 2.4 g/cm3. The value obtained for the polymorph energy (0 for the lowest one) is 147.5 meV/atom. The formation energy comes out at 336 kJ/mol of formula units. As for the space-group type: No. 221.

```
&SYSTEM
  ibrav = 0, nat = 5, ntyp = 3
/
ATOMIC_SPECIES
Ag 107.87 Ag.upf
Na 22.99 Na.upf
Ni 58.69 Ni.upf
ATOMIC_POSITIONS crystal
Ag 0.000 0.000 0.000
Na 0.000 0.500 0.000
Na 0.000 0.000 0.500
Na 0.500 0.000 0.000
Ni 0.500 0.500 0.500
CELL_PARAMETERS angstrom
-3.747 3.225 2.357
-3.680 -4.044 -0.318
1.553 -1.802 4.934
```

(13)
VASP calculation (PBE) on crystalline NaNiAg3 at its relaxed geometry. Values from VASP.

The value obtained for the theoretical density is 6.1 g/cm3. The value obtained for the polymorph energy (0 for the lowest one) is 743.1 meV/atom. The formation energy comes out at 570 kJ/mol of formula units. As for the space-group type: No. 221.

```
&SYSTEM
  ibrav = 0, nat = 5, ntyp = 3
/
ATOMIC_SPECIES
Ag 107.87 Ag.upf
Na 22.99 Na.upf
Ni 58.69 Ni.upf
ATOMIC_POSITIONS crystal
Ag 0.000 0.500 0.000
Ag 0.500 0.000 0.000
Ag 0.000 0.000 0.500
Na 0.000 0.000 0.000
Ni 0.500 0.500 0.500
CELL_PARAMETERS angstrom
4.806 0.000 0.000
0.000 4.806 0.000
0.000 0.000 4.806
```

(14)
VASP calculation (PBE) on crystalline NaNiAg3 at its relaxed geometry. Values from VASP.

The value obtained for the theoretical density is 5.8 g/cm3. The value obtained for the polymorph energy (0 for the lowest one) is 0.0 meV/atom. The formation energy comes out at 211 kJ/mol of formula units. As for the space-group type: No. 221.

```
&SYSTEM
  ibrav = 0, nat = 5, ntyp = 3
/
ATOMIC_SPECIES
Ag 107.87 Ag.upf
Ni 58.69 Ni.upf
Na 22.99 Na.upf
ATOMIC_POSITIONS crystal
Ag 0.500 0.000 0.000
Ag 0.000 0.500 0.000
Ag 0.000 0.000 0.500
Ni 0.000 0.000 0.000
Na 0.500 0.500 0.500
CELL_PARAMETERS angstrom
-2.932 -3.819 0.819
2.374 -0.929 4.166
-3.102 2.899 2.414
```

(15)
VASP calculation (PBE) on crystalline NaSr2NiAg at its relaxed geometry. Values from VASP.

The value obtained for the theoretical density is 3.7 g/cm3. The formation energy comes out at 28 kJ/mol of formula units. As for the space-group type: No. 123.

```
&SYSTEM
  ibrav = 0, nat = 5, ntyp = 4
/
ATOMIC_SPECIES
Sr 87.62 Sr.upf
Ag 107.87 Ag.upf
Na 22.99 Na.upf
Ni 58.69 Ni.upf
ATOMIC_POSITIONS crystal
Sr 0.000 0.500 0.000
Sr 0.500 0.000 0.000
Ag 0.000 0.000 0.500
Na 0.500 0.500 0.500
Ni 0.000 0.000 0.000
CELL_PARAMETERS angstrom
5.757 0.000 0.000
0.000 5.757 0.000
0.000 0.000 4.991
```

(16)
VASP calculation (PBE) on crystalline NaTaNiAg2 at its relaxed geometry. Values from VASP.

The value obtained for the theoretical density is 7.4 g/cm3. The formation energy comes out at 921 kJ/mol of formula units. As for the space-group type: No. 123.

```
&SYSTEM
  ibrav = 0, nat = 5, ntyp = 4
/
ATOMIC_SPECIES
Ni 58.69 Ni.upf
Na 22.99 Na.upf
Ta 180.95 Ta.upf
Ag 107.87 Ag.upf
ATOMIC_POSITIONS crystal
Ni 0.500 0.500 0.500
Na 0.000 0.000 0.000
Ta 0.000 0.500 0.000
Ag 0.000 0.000 0.500
Ag 0.500 0.000 0.000
CELL_PARAMETERS angstrom
4.571 0.000 0.000
0.000 5.164 0.000
0.000 0.000 4.571
```

(17)
VASP calculation (PBE) on crystalline NaTlNi2Ag at its relaxed geometry. Values from VASP.

The value obtained for the theoretical density is 6.0 g/cm3. The formation energy comes out at 414 kJ/mol of formula units. As for the space-group type: No. 123.

```
&SYSTEM
  ibrav = 0, nat = 5, ntyp = 4
/
ATOMIC_SPECIES
Ni 58.69 Ni.upf
Na 22.99 Na.upf
Tl 204.38 Tl.upf
Ag 107.87 Ag.upf
ATOMIC_POSITIONS crystal
Ni 0.000 0.000 0.500
Ni 0.500 0.000 0.000
Na 0.500 0.500 0.500
Tl 0.000 0.500 0.000
Ag 0.000 0.000 0.000
CELL_PARAMETERS angstrom
4.872 0.000 0.000
0.000 5.254 0.000
0.000 0.000 4.872
```

(18)
VASP calculation (PBE) on crystalline Na2NpAgO6 at its relaxed geometry. Values from VASP.

The value obtained for the theoretical density is 5.5 g/cm3. Its formation energy from raw total energies is -1.72 eV/atom. As for the space-group type: No. 12.

```
&SYSTEM
  ibrav = 0, nat = 10, ntyp = 4
/
ATOMIC_SPECIES
Na 22.99 Na.upf
O 16.00 O.upf
Np 237.00 Np.upf
Ag 107.87 Ag.upf
ATOMIC_POSITIONS crystal
Na 0.188 0.248 0.496
Na 0.812 0.752 0.504
O 0.319 0.676 0.352
O 0.822 0.831 0.148
O 0.178 0.169 0.852
O 0.822 0.317 0.148
O 0.178 0.683 0.852
O 0.681 0.324 0.648
Np 0.000 0.500 0.000
Ag 0.500 0.000 0.000
CELL_PARAMETERS angstrom
-1.650 3.842 3.206
-5.380 -1.051 -1.509
3.133 -4.650 2.780
```

(19)
VASP calculation (PBE) on crystalline Na2NpAgO5 at its relaxed geometry. Values from VASP.

The value obtained for the theoretical density is 5.6 g/cm3. Its formation energy from raw total energies is -1.82 eV/atom. As for the space-group type: No. 71.

```
&SYSTEM
  ibrav = 0, nat = 9, ntyp = 4
/
ATOMIC_SPECIES
O 16.00 O.upf
Ag 107.87 Ag.upf
Np 237.00 Np.upf
Na 22.99 Na.upf
ATOMIC_POSITIONS crystal
O 0.625 0.889 0.250
O 0.000 0.000 0.000
O 0.375 0.111 0.750
O 0.625 0.361 0.250
O 0.375 0.639 0.750
Ag 0.000 0.500 0.000
Np 0.500 0.000 0.000
Na 0.222 0.222 0.445
Na 0.778 0.778 0.555
CELL_PARAMETERS angstrom
-1.532 3.697 -1.571
-2.330 -2.829 -4.384
-2.824 -1.138 5.959
```

(20)
VASP calculation (PBE) on crystalline Na2NpAg2O6 at its relaxed geometry. Values from VASP.

The value obtained for the theoretical density is 5.9 g/cm3. Its formation energy from raw total energies is -1.53 eV/atom. As for the space-group type: No. 12.

```
&SYSTEM
  ibrav = 0, nat = 11, ntyp = 4
/
ATOMIC_SPECIES
Np 237.00 Np.upf
Na 22.99 Na.upf
O 16.00 O.upf
Ag 107.87 Ag.upf
ATOMIC_POSITIONS crystal
Np 0.000 0.000 0.500
Na 0.184 0.816 0.000
Na 0.816 0.184 0.000
O 0.041 0.342 0.741
O 0.658 0.959 0.259
O 0.959 0.658 0.259
O 0.342 0.041 0.741
O 0.790 0.790 0.680
O 0.210 0.210 0.320
Ag 0.660 0.340 0.500
Ag 0.340 0.660 0.500
CELL_PARAMETERS angstrom
-0.783 -3.320 4.565
4.919 2.845 0.428
-4.459 4.331 0.308
```